La7Pr2Dy4 | PBE-GGA | relaxed

Values from the calculation:
Calculated formation energy in meV/atom: 155

Lattice parameters (Å, degrees): 6.3253 6.3253 13.1743 90.00 90.00 120.00
With the nearest neighbours (Å) after each atom.
Fractional coordinates of all 13 atoms:
La  0.0000  0.6178  0.7684  1 Dy 3.19, 4 La 3.42
La  0.0000  0.3822  0.2316  1 Dy 3.19, 4 La 3.42
La  0.0000  0.0000  0.0000  6 Pr 3.65, 6 La 3.89
La  0.6178  0.0000  0.7684  1 Dy 3.19, 4 La 3.42
La  0.3822  0.0000  0.2316  1 Dy 3.19, 4 La 3.42
La  0.6178  0.6178  0.2316  1 Dy 3.19, 4 La 3.42
La  0.3822  0.3822  0.7684  1 Dy 3.19, 4 La 3.42
Pr  0.6667  0.3333  0.0000  9 La 3.63-3.65, 3 Pr 3.65
Pr  0.3333  0.6667  0.0000  9 La 3.63-3.65, 3 Pr 3.65
Dy  0.0000  0.0000  0.6099  1 Dy 2.90, 3 La 3.19
Dy  0.0000  0.0000  0.3901  1 Dy 2.90, 3 La 3.19
Dy  0.6667  0.3333  0.5000  9 Dy 3.65-3.93, 6 La 4.05
Dy  0.3333  0.6667  0.5000  9 Dy 3.65-3.93, 6 La 4.05

=====

GdLuCuPd | PBE-GGA | relaxed

Values from the calculation:
Calculated formation energy in meV/atom: -569

Lattice parameters (Å, degrees): 4.9189 4.9189 4.9189 60.00 60.00 60.00
With the nearest neighbours (Å) after each atom.
Fractional coordinates of all 4 atoms:
Gd  0.5000  0.5000  0.5000  4 Cu 3.01, 4 Pd 3.01
Lu  0.0000  0.0000  0.0000  4 Pd 3.01, 4 Cu 3.01
Cu  0.2500  0.2500  0.2500  4 Gd 3.01, 4 Lu 3.01
Pd  0.7500  0.7500  0.7500  4 Gd 3.01, 4 Lu 3.01

=====

TaNb3Tc | PBE-GGA | relaxed

Values from the calculation:
Excess energy over the best structure of this formula in the dataset in meV per atom: 39
Calculated formation energy in meV/atom: 49

Lattice parameters (Å, degrees): 3.1855 7.2032 8.3768 104.99 100.96 90.00
With the nearest neighbours (Å) after each atom.
Fractional coordinates of all 10 atoms:
Ta  0.8764  0.8261  0.7529  2 Tc 2.74, 5 Nb 2.86-2.99
Ta  0.1236  0.1739  0.2471  2 Tc 2.74, 5 Nb 2.86-2.99
Nb  0.0418  0.7316  0.0836  4 Tc 2.72-2.82, 2 Nb 2.82, 1 Ta 2.97
Nb  0.9582  0.2684  0.9164  4 Tc 2.72-2.82, 2 Nb 2.82, 1 Ta 2.97
Nb  0.3174  0.0931  0.6348  6 Nb 2.77-2.82, 2 Ta 2.86
Nb  0.6826  0.9069  0.3652  6 Nb 2.77-2.82, 2 Ta 2.86
Nb  0.2241  0.6283  0.4481  4 Nb 2.74-2.78, 2 Tc 2.76, 2 Ta 2.99
Nb  0.7759  0.3717  0.5519  4 Nb 2.74-2.78, 2 Tc 2.76, 2 Ta 2.99
Tc  0.5886  0.4529  0.1772  6 Nb 2.72-2.82, 2 Ta 2.74
Tc  0.4114  0.5471  0.8228  6 Nb 2.72-2.82, 2 Ta 2.74

=====

AcLaCu2 | PBE-GGA | relaxed

Values from the calculation:
Excess energy over the best structure of this formula in the dataset in meV per atom: 52
Calculated formation energy in meV/atom: -104

Lattice parameters (Å, degrees): 5.2761 5.2761 5.2761 60.00 60.00 60.00
With the nearest neighbours (Å) after each atom.
Fractional coordinates of all 4 atoms:
Ac  0.0000  0.0000  0.0000  8 Cu 3.23
Cu  0.2500  0.2500  0.2500  4 Ac 3.23, 4 La 3.23
Cu  0.7500  0.7500  0.7500  4 Ac 3.23, 4 La 3.23
La  0.5000  0.5000  0.5000  8 Cu 3.23

=====

SmZnGe2Pd | PBE-GGA | relaxed

Values from the calculation:
Calculated formation energy in meV/atom: -674

Lattice parameters (Å, degrees): 4.1716 4.1716 6.1477 109.83 109.83 90.00
With the nearest neighbours (Å) after each atom.
Fractional coordinates of all 5 atoms:
Sm  0.0000  0.0000  0.0000  8 Ge 3.20, 4 Pd 3.41, 4 Zn 3.41
Zn  0.7500  0.2500  0.5000  4 Ge 2.54
Ge  0.6149  0.6149  0.2299  1 Ge 2.48, 2 Pd 2.54, 2 Zn 2.54
Ge  0.3851  0.3851  0.7701  1 Ge 2.48, 2 Pd 2.54, 2 Zn 2.54
Pd  0.2500  0.7500  0.5000  4 Ge 2.54

=====

LiCdTc2 | PBE-GGA | relaxed

Values from the calculation:
Calculated formation energy in meV/atom: 348

Lattice parameters (Å, degrees): 2.7096 4.5425 5.1054 90.00 90.00 90.00
With the nearest neighbours (Å) after each atom.
Fractional coordinates of all 4 atoms:
Cd  0.5000  0.5000  0.2500  2 Li 2.55, 2 Cd 2.71
Li  0.5000  0.5000  0.7500  2 Cd 2.55, 2 Li 2.71
Tc  0.0000  0.0000  0.9734  1 Tc 2.28
Tc  0.0000  0.0000  0.5266  1 Tc 2.28